[1]
GGA-PBE YPdSN2, relaxed; raw formation energy = 1.01 eV/atom; relative energy among the computed polymorphs = 0.663 eV per atom; SG = P4/mmm, No. 123
1.0
4.386 0.000 0.000
0.000 4.386 0.000
0.000 0.000 5.427
Y Pd S N
1 1 1 2
direct
0.000 0.000 0.000
0.500 0.500 0.500
0.000 0.000 0.500
0.000 0.500 0.000
0.500 0.000 0.000

=====

[2]
GGA-PBE TaPtBr4, relaxed; raw formation energy = 1.54 eV/atom; SG = F-43m, No. 216
1.0
0.000 4.117 4.117
4.117 0.000 4.117
4.117 4.117 0.000
Ta Pt Br
1 1 4
direct
0.000 0.000 0.000
0.250 0.250 0.250
0.125 0.625 0.625
0.625 0.125 0.625
0.625 0.625 0.125
0.625 0.625 0.625

=====

[3]
GGA-PBE LiEuZrRh, relaxed; SG = F-43m, No. 216; ΔE_f = -0.15 eV per atom
1.0
0.000 3.442 3.442
3.442 0.000 3.442
3.442 3.442 0.000
Li Eu Zr Rh
1 1 1 1
direct
0.000 0.000 0.000
0.750 0.750 0.750
0.250 0.250 0.250
0.500 0.500 0.500

=====

[4]
GGA-PBE LaTmAg, relaxed; relative energy among the computed polymorphs = 0.125 eV per atom; SG = P3m1, No. 156; ΔE_f = -0.04 eV per atom
1.0
5.076 0.000 0.000
-2.538 4.396 0.000
0.000 0.000 3.876
La Tm Ag
1 1 1
direct
0.000 0.000 0.000
0.333 0.667 0.499
0.667 0.333 0.503

=====

[5]
GGA-PBE HfMoH2, relaxed; relative energy among the computed polymorphs = 0.000 eV per atom; SG = Pnma, No. 62
1.0
4.859 0.000 0.000
0.000 3.306 0.000
0.000 0.000 10.267
Hf Mo H
4 4 8
direct
0.078 0.250 0.131
0.422 0.750 0.631
0.578 0.250 0.369
0.922 0.750 0.869
0.075 0.750 0.379
0.425 0.250 0.879
0.575 0.750 0.121
0.925 0.250 0.621
0.103 0.250 0.781
0.225 0.250 0.497
0.275 0.750 0.997
0.397 0.750 0.281
0.603 0.250 0.719
0.725 0.250 0.003
0.775 0.750 0.503
0.897 0.750 0.219

=====

[6]
GGA-PBE Dy5Ho4Zr2, relaxed; SG = P2/m, No. 10; ΔE_f = 0.11 eV per atom
1.0
8.605 0.000 0.000
0.000 3.431 0.000
-0.714 0.000 11.247
Dy Ho Zr
5 4 2
direct
0.000 0.000 0.000
0.080 0.000 0.295
0.307 0.000 0.831
0.693 0.000 0.169
0.920 0.000 0.705
0.229 0.500 0.551
0.344 0.500 0.119
0.656 0.500 0.881
0.771 0.500 0.449
0.448 0.000 0.369
0.552 0.000 0.631

=====

[7]
GGA-PBE Ac4IrBrCl2, relaxed; raw formation energy = -1.24 eV/atom; SG = P2/m, No. 10
1.0
7.724 0.000 0.000
0.000 4.327 0.000
-2.732 0.000 8.000
Ac Ir Br Cl
4 1 1 2
direct
0.219 0.000 0.209
0.246 0.500 0.789
0.754 0.500 0.211
0.781 0.000 0.791
0.000 0.500 0.000
0.000 0.000 0.500
0.500 0.000 0.000
0.500 0.500 0.500

=====

[8]
GGA-PBE LuMgIn, relaxed; SG = I4mm, No. 107; ΔE_f = -0.18 eV per atom
1.0
-1.677 1.677 6.593
1.677 -1.677 6.593
1.677 1.677 -6.593
Lu Mg In
1 1 1
direct
0.000 0.000 0.000
0.677 0.677 0.000
0.332 0.332 0.000

=====

[9]
GGA-PBE LaTiAgBi2, relaxed; SG = P4/mmm, No. 123; ΔE_f = 0.16 eV per atom
1.0
5.357 0.000 0.000
0.000 5.357 0.000
0.000 0.000 5.465
La Ti Ag Bi
1 1 1 2
direct
0.000 0.000 0.000
0.000 0.000 0.500
0.500 0.500 0.000
0.000 0.500 0.500
0.500 0.000 0.500

=====

[10]
GGA-PBE YHgTe2Pd, relaxed; raw formation energy = 0.12 eV/atom; relative energy among the computed polymorphs = 0.026 eV per atom; SG = P4/mmm, No. 123
1.0
5.544 0.000 0.000
0.000 5.544 0.000
0.000 0.000 4.990
Y Hg Te Pd
1 1 2 1
direct
0.000 0.000 0.000
0.500 0.500 0.500
0.000 0.500 0.500
0.500 0.000 0.500
0.500 0.500 0.000

=====

[11]
GGA-PBE NdEr2IrO8, relaxed; raw formation energy = -2.34 eV/atom; SG = P2/m, No. 10
1.0
5.044 0.000 0.000
0.000 6.852 0.000
-0.025 0.000 5.047
Nd Er Ir O
1 2 1 8
direct
0.000 0.000 0.000
0.500 0.249 0.500
0.500 0.751 0.500
0.000 0.500 0.000
0.189 0.296 0.187
0.189 0.704 0.187
0.268 0.500 0.730
0.316 0.000 0.682
0.684 0.000 0.318
0.732 0.500 0.270
0.811 0.296 0.813
0.811 0.704 0.813

=====

[12]
GGA-PBE UIn2Cl7, relaxed; raw formation energy = -1.29 eV/atom; SG = C2/c, No. 15
1.0
8.684 -4.215 0.000
8.684 4.215 0.000
-7.959 0.000 9.001
U In Cl
2 4 14
direct
0.123 0.877 0.750
0.877 0.123 0.250
0.241 0.362 0.188
0.362 0.241 0.688
0.638 0.759 0.312
0.759 0.638 0.812
0.021 0.653 0.709
0.028 0.729 0.117
0.067 0.752 0.476
0.248 0.933 0.024
0.271 0.972 0.383
0.347 0.979 0.791
0.433 0.567 0.750
0.567 0.433 0.250
0.653 0.021 0.209
0.729 0.028 0.617
0.752 0.067 0.976
0.933 0.248 0.524
0.972 0.271 0.883
0.979 0.347 0.291

=====

[13]
GGA-PBE NaLaGaGe, relaxed; SG = F-43m, No. 216; ΔE_f = -0.34 eV per atom
1.0
0.000 3.654 3.654
3.654 0.000 3.654
3.654 3.654 0.000
Na La Ga Ge
1 1 1 1
direct
0.000 0.000 0.000
0.500 0.500 0.500
0.750 0.750 0.750
0.250 0.250 0.250

=====

[14]
GGA-PBE PmTh2Cd6, relaxed; SG = C2/m, No. 12; ΔE_f = -0.24 eV per atom
1.0
7.686 -4.440 0.000
7.686 4.440 0.000
-0.001 0.000 3.376
Pm Th Cd
1 2 6
direct
0.000 0.000 0.000
0.333 0.333 0.000
0.667 0.667 0.000
0.000 0.331 0.501
0.000 0.669 0.499
0.331 0.000 0.501
0.332 0.668 0.500
0.668 0.332 0.500
0.669 0.000 0.499

=====

[15]
GGA-PBE AgRuI4, relaxed; raw formation energy = -0.09 eV/atom; SG = C2/m, No. 12
1.0
6.890 -2.033 0.000
6.890 2.033 0.000
-1.488 0.000 7.425
Ag Ru I
1 1 4
direct
0.000 0.000 0.000
0.500 0.500 0.500
0.113 0.113 0.410
0.392 0.392 0.164
0.608 0.608 0.836
0.887 0.887 0.590

=====

[16]
GGA-PBE K2FeSbPt, relaxed; raw formation energy = 0.69 eV/atom; SG = P4/mmm, No. 123
1.0
6.754 0.000 0.000
0.000 6.754 0.000
0.000 0.000 4.901
K Fe Sb Pt
2 1 1 1
direct
0.000 0.500 0.000
0.500 0.000 0.000
0.000 0.000 0.500
0.500 0.500 0.000
0.500 0.500 0.500

=====

[17]
GGA-PBE CsSbSF2, relaxed; raw formation energy = -1.76 eV/atom; SG = P4mm, No. 99
1.0
4.634 0.000 0.000
0.000 4.634 0.000
0.000 0.000 6.206
Cs Sb S F
1 1 1 2
direct
0.000 0.000 0.000
0.500 0.500 0.429
0.500 0.500 0.801
0.000 0.500 0.384
0.500 0.000 0.384

=====

[18]
GGA-PBE SmY2Tm8, relaxed; relative energy among the computed polymorphs = 0.000 eV per atom; SG = C2/m, No. 12; ΔE_f = 0.03 eV per atom
1.0
5.557 -2.484 0.000
5.557 2.484 0.000
-3.355 0.000 12.243
Sm Y Tm
1 2 8
direct
0.000 0.000 0.000
0.182 0.182 0.274
0.818 0.818 0.726
0.091 0.091 0.635
0.272 0.272 0.909
0.365 0.365 0.545
0.454 0.454 0.183
0.546 0.546 0.817
0.635 0.635 0.455
0.728 0.728 0.091
0.909 0.909 0.365

=====

[19]
GGA-PBE CeNd6SmDy2, relaxed; SG = C2/m, No. 12; ΔE_f = 0.24 eV per atom
1.0
5.672 -3.511 0.000
5.672 3.511 0.000
-2.026 0.000 8.702
Ce Nd Sm Dy
1 6 1 2
direct
0.000 0.000 0.000
0.094 0.564 0.201
0.127 0.127 0.417
0.436 0.906 0.799
0.564 0.094 0.201
0.873 0.873 0.583
0.906 0.436 0.799
0.500 0.500 0.500
0.408 0.408 0.840
0.592 0.592 0.160

=====

[20]
GGA-PBE CsIn2Re2, relaxed; relative energy among the computed polymorphs = 0.000 eV per atom; SG = P4/mbm, No. 127; ΔE_f = 0.80 eV per atom
1.0
9.024 0.000 0.000
0.000 9.024 0.000
0.000 0.000 2.986
Cs In Re
2 4 4
direct
0.000 0.000 0.000
0.500 0.500 0.000
0.180 0.320 0.500
0.320 0.820 0.500
0.680 0.180 0.500
0.820 0.680 0.500
0.090 0.590 0.000
0.410 0.090 0.000
0.590 0.910 0.000
0.910 0.410 0.000

=====

[21]
GGA-PBE Th4OsS3, relaxed; raw formation energy = -1.45 eV/atom; SG = P2/c, No. 13
1.0
7.146 0.000 0.000
0.000 8.234 0.000
-2.304 0.000 6.675
Th Os S
8 2 6
direct
0.237 0.120 0.004
0.237 0.880 0.504
0.245 0.374 0.496
0.245 0.626 0.996
0.755 0.374 0.004
0.755 0.626 0.504
0.763 0.120 0.496
0.763 0.880 0.996
0.000 0.129 0.250
0.000 0.871 0.750
0.000 0.374 0.750
0.000 0.626 0.250
0.500 0.129 0.750
0.500 0.376 0.250
0.500 0.624 0.750
0.500 0.871 0.250

=====

[22]
GGA-PBE Dy3Er5Sc2, relaxed; SG = Ibam, No. 72; ΔE_f = 0.51 eV per atom
1.0
-4.937 7.719 4.126
4.937 -7.719 4.126
4.937 7.719 -4.126
Dy Er Sc
6 10 4
direct
0.125 0.737 0.862
0.250 0.250 0.000
0.375 0.237 0.612
0.625 0.763 0.388
0.750 0.750 0.000
0.875 0.263 0.138
0.015 0.750 0.265
0.125 0.334 0.458
0.250 0.750 0.500
0.375 0.834 0.209
0.485 0.750 0.735
0.515 0.250 0.265
0.625 0.166 0.791
0.750 0.250 0.500
0.875 0.666 0.542
0.985 0.250 0.735
0.133 0.049 0.183
0.367 0.549 0.916
0.633 0.451 0.084
0.867 0.951 0.817

=====

[23]
GGA-PBE RbCeNb2O7, relaxed; raw formation energy = -2.70 eV/atom; SG = P4/mmm, No. 123
1.0
3.918 0.000 0.000
0.000 3.918 0.000
0.000 0.000 11.312
Rb Ce Nb O
1 1 2 7
direct
0.000 0.000 0.000
0.000 0.000 0.500
0.500 0.500 0.299
0.500 0.500 0.701
0.000 0.500 0.341
0.000 0.500 0.659
0.500 0.000 0.341
0.500 0.000 0.659
0.500 0.500 0.139
0.500 0.500 0.500
0.500 0.500 0.861